#P
An optimized crystal structure of YAlFePd. Source: OQMD via LeMat-Bulk, functional PBE.

Computed properties:
Space group: No. 216
Total moment in μB/cell: 1.75

Unit cell a=4.591 b=4.591 c=4.591 alpha=60.00 beta=60.00 gamma=60.00
Fractional coordinates of all 4 atoms:
Y (0.500, 0.500, 0.500)
Al (0.000, 0.000, 0.000)
Fe (0.750, 0.750, 0.750)
Pd (0.250, 0.250, 0.250)

#Q
An optimized crystal structure of YAlFePd. Source: OQMD via LeMat-Bulk, functional PBE.

Computed properties:
Space group: No. 216
Total moment in μB/cell: 2.74

Unit cell a=4.686 b=4.686 c=4.686 alpha=60.00 beta=60.00 gamma=60.00
Fractional coordinates of all 4 atoms:
Pd (0.500, 0.500, 0.500)
Y (0.250, 0.250, 0.250)
Al (0.000, 0.000, 0.000)
Fe (0.750, 0.750, 0.750)

Most stable = #P

#P
An optimized crystal structure of LiGdIr. Source: OQMD via LeMat-Bulk, functional PBE.

Computed properties:
Space group: No. 216
Total moment in μB/cell: 0.01

Unit cell a=4.574 b=4.574 c=4.574 alpha=60.00 beta=60.00 gamma=60.00
Fractional coordinates of all 3 atoms:
Gd (0.000, 0.000, 0.000)
Li (0.750, 0.750, 0.750)
Ir (0.250, 0.250, 0.250)

#Q
An optimized crystal structure of LiGdIr. Source: OQMD via LeMat-Bulk, functional PBE.

Computed properties:
Space group: No. 216
Total moment in μB/cell: 0.01

Unit cell a=4.298 b=4.298 c=4.298 alpha=60.00 beta=60.00 gamma=60.00
Fractional coordinates of all 3 atoms:
Li (0.000, 0.000, 0.000)
Ir (0.750, 0.750, 0.750)
Gd (0.250, 0.250, 0.250)

Most stable = #Q

#P
An optimized crystal structure of Cu5Ag4. Source: OQMD via LeMat-Bulk, functional PBE.

Computed properties:
Space group: No. 12

Unit cell a=4.811 b=4.811 c=8.314 alpha=108.11 beta=108.11 gamma=46.55
Fractional coordinates of all 9 atoms:
Ag (0.325, 0.325, 0.261)
Ag (0.675, 0.675, 0.739)
Ag (0.656, 0.656, 0.381)
Ag (0.344, 0.344, 0.619)
Cu (0.012, 0.012, 0.853)
Cu (0.000, 0.000, 0.500)
Cu (0.988, 0.988, 0.147)
Cu (0.345, 0.345, 0.951)
Cu (0.655, 0.655, 0.049)

#Q
An optimized crystal structure of Cu5Ag4. Source: OQMD via LeMat-Bulk, functional PBE.

Computed properties:
Space group: No. 12

Unit cell a=7.215 b=7.215 c=8.108 alpha=124.03 beta=124.03 gamma=22.19
Fractional coordinates of all 9 atoms:
Cu (0.000, 0.000, 0.000)
Cu (0.452, 0.452, 0.688)
Cu (0.663, 0.663, 0.995)
Cu (0.337, 0.337, 0.005)
Cu (0.548, 0.548, 0.312)
Ag (0.786, 0.786, 0.678)
Ag (0.214, 0.214, 0.322)
Ag (0.110, 0.110, 0.670)
Ag (0.890, 0.890, 0.330)

Most stable = #P